Entry 1:
Material: Zr2CoPd
Method: DFT, PBE
State: optimized geometry

a b c (Å): 7.1697 7.1697 5.7015
angles (deg): 90.00 90.00 90.00
With the nearest neighbours (Å) after each atom.
Fractional positions:
1 Zr 0.2257 0.7500 0.1250  2 Co 2.52, 2 Pd 2.75
2 Zr 0.2500 0.2257 0.8750  2 Co 2.52, 2 Pd 2.75
3 Zr 0.2500 0.2743 0.3750  2 Co 2.52, 2 Pd 2.75
4 Zr 0.2743 0.7500 0.6250  2 Co 2.52, 2 Pd 2.75
5 Zr 0.7257 0.2500 0.6250  2 Co 2.52, 2 Pd 2.75
6 Zr 0.7500 0.7257 0.3750  2 Co 2.52, 2 Pd 2.75
7 Zr 0.7500 0.7743 0.8750  2 Co 2.52, 2 Pd 2.75
8 Zr 0.7743 0.2500 0.1250  2 Co 2.52, 2 Pd 2.75
9 Co 0.0000 0.0000 0.0000  4 Zr 2.52
10 Co 0.0000 0.5000 0.2500  4 Zr 2.52
11 Co 0.5000 0.0000 0.7500  4 Zr 2.52
12 Co 0.5000 0.5000 0.5000  4 Zr 2.52
13 Pd 0.0000 0.0000 0.5000  4 Zr 2.75, 2 Co 2.85
14 Pd 0.0000 0.5000 0.7500  4 Zr 2.75, 2 Co 2.85
15 Pd 0.5000 0.0000 0.2500  4 Zr 2.75, 2 Co 2.85
16 Pd 0.5000 0.5000 0.0000  4 Zr 2.75, 2 Co 2.85

Output
The value obtained for the energy of formation from the pure elements is -0.061 eV/atom. The value obtained for the offset from the most stable computed form is 370 meV per atom. For the spin magnetization, the calculation gives 0.0 μB/cell. As for the symmetry: No. 122.

---

Entry 2:
Material: Zr2CoPd
Method: DFT, PBE
State: optimized geometry

a b c (Å): 3.1816 3.1816 6.8981
angles (deg): 90.00 90.00 90.00
With the nearest neighbours (Å) after each atom.
Fractional positions:
1 Zr 0.0000 0.0000 0.2305  4 Co 2.75, 4 Pd 2.92
2 Zr 0.0000 0.0000 0.7695  4 Co 2.75, 4 Pd 2.92
3 Co 0.5000 0.5000 0.0000  8 Zr 2.75
4 Pd 0.5000 0.5000 0.5000  8 Zr 2.92, 4 Pd 3.18

Output
The value obtained for the energy of formation from the pure elements is -0.431 eV/atom. The value obtained for the offset from the most stable computed form is 0 meV per atom. For the spin magnetization, the calculation gives 0.0 μB/cell. As for the symmetry: No. 123.

---

Entry 3:
Material: Zr2CoPd
Method: DFT, PBE
State: optimized geometry

a b c (Å): 6.5662 6.5662 6.5662
angles (deg): 90.00 90.00 90.00
With the nearest neighbours (Å) after each atom.
Fractional positions:
1 Zr 0.2500 0.2500 0.2500  4 Co 2.84, 4 Pd 2.84
2 Zr 0.2500 0.2500 0.7500  4 Co 2.84, 4 Pd 2.84
3 Zr 0.2500 0.7500 0.2500  4 Co 2.84, 4 Pd 2.84
4 Zr 0.2500 0.7500 0.7500  4 Co 2.84, 4 Pd 2.84
5 Zr 0.7500 0.2500 0.2500  4 Co 2.84, 4 Pd 2.84
6 Zr 0.7500 0.2500 0.7500  4 Co 2.84, 4 Pd 2.84
7 Zr 0.7500 0.7500 0.2500  4 Co 2.84, 4 Pd 2.84
8 Zr 0.7500 0.7500 0.7500  4 Co 2.84, 4 Pd 2.84
9 Co 0.0000 0.0000 0.0000  8 Zr 2.84
10 Co 0.0000 0.5000 0.5000  8 Zr 2.84
11 Co 0.5000 0.0000 0.5000  8 Zr 2.84
12 Co 0.5000 0.5000 0.0000  8 Zr 2.84
13 Pd 0.0000 0.0000 0.5000  8 Zr 2.84
14 Pd 0.0000 0.5000 0.0000  8 Zr 2.84
15 Pd 0.5000 0.0000 0.0000  8 Zr 2.84
16 Pd 0.5000 0.5000 0.5000  8 Zr 2.84

Output
The value obtained for the energy of formation from the pure elements is -0.393 eV/atom. The value obtained for the offset from the most stable computed form is 37 meV per atom. For the spin magnetization, the calculation gives 2.6 μB/cell. As for the symmetry: No. 225.

---

Entry 4:
Material: Zr5CoPd2
Method: DFT, PBE
State: optimized geometry

a b c (Å): 7.1953 10.6666 4.1496
angles (deg): 90.00 90.00 90.00
With the nearest neighbours (Å) after each atom.
Fractional positions:
1 Zr 0.0000 0.0000 0.0000  4 Pd 2.78
2 Zr 0.1441 0.2902 0.0000  1 Co 2.47
3 Zr 0.1804 0.5779 0.5000  2 Co 2.58, 1 Pd 2.83
4 Zr 0.3196 0.0779 0.5000  2 Co 2.58, 1 Pd 2.83
5 Zr 0.3559 0.7902 0.0000  1 Co 2.47
6 Zr 0.5000 0.5000 0.0000  4 Pd 2.78
7 Zr 0.6441 0.2098 0.0000  1 Co 2.47
8 Zr 0.6804 0.9221 0.5000  2 Co 2.58, 1 Pd 2.83
9 Zr 0.8196 0.4221 0.5000  2 Co 2.58, 1 Pd 2.83
10 Zr 0.8559 0.7098 0.0000  1 Co 2.47
11 Co 0.0000 0.5000 0.0000  6 Zr 2.47-2.58
12 Co 0.5000 0.0000 0.0000  6 Zr 2.47-2.58
13 Pd 0.0790 0.8343 0.5000  8 Zr 2.78-3.02
14 Pd 0.4210 0.3343 0.5000  8 Zr 2.78-3.02
15 Pd 0.5790 0.6657 0.5000  8 Zr 2.78-3.02
16 Pd 0.9210 0.1657 0.5000  8 Zr 2.78-3.02

Output
The value obtained for the energy of formation from the pure elements is -0.357 eV/atom. For the spin magnetization, the calculation gives 0.0 μB/cell. As for the symmetry: No. 55.

---

Entry 5:
Material: Zr6Co2Pd
Method: DFT, PBE
State: optimized geometry

a b c (Å): 7.7228 7.7228 7.7228
angles (deg): 114.80 111.45 102.41
With the nearest neighbours (Å) after each atom.
Fractional positions:
1 Zr 0.0349 0.2320 0.8029  1 Co 2.59, 1 Pd 2.83
2 Zr 0.1871 0.2987 0.4858  3 Co 2.65-2.84
3 Zr 0.1871 0.7013 0.8885  3 Co 2.65-2.84
4 Zr 0.3285 0.0262 0.6976  3 Co 2.54-2.70
5 Zr 0.3285 0.6309 0.3024  3 Co 2.54-2.70
6 Zr 0.4291 0.2320 0.1971  1 Co 2.59, 1 Pd 2.83
7 Zr 0.5709 0.7680 0.8029  1 Co 2.59, 1 Pd 2.83
8 Zr 0.6715 0.3691 0.6976  3 Co 2.54-2.70
9 Zr 0.6715 0.9738 0.3024  3 Co 2.54-2.70
10 Zr 0.8129 0.2987 0.1115  3 Co 2.65-2.84
11 Zr 0.8129 0.7013 0.5142  3 Co 2.65-2.84
12 Zr 0.9651 0.7680 0.1971  1 Co 2.59, 1 Pd 2.83
13 Co 0.1288 0.6288 0.5000  1 Co 2.49, 6 Zr 2.54-2.65
14 Co 0.3447 0.0000 0.3447  8 Zr 2.59-2.84, 1 Co 2.70
15 Co 0.6553 0.0000 0.6553  8 Zr 2.59-2.84, 1 Co 2.70
16 Co 0.8712 0.3712 0.5000  1 Co 2.49, 6 Zr 2.54-2.65
17 Pd 0.0000 0.0000 0.0000  8 Zr 2.83-2.97, 2 Co 3.00
18 Pd 0.5000 0.5000 0.0000  12 Zr 3.01-3.20

Output
The value obtained for the energy of formation from the pure elements is -0.296 eV/atom. For the spin magnetization, the calculation gives 0.0 μB/cell. As for the symmetry: No. 71.

---

Entry 6:
Material: ZrCoPd3
Method: DFT, PBE
State: optimized geometry

a b c (Å): 4.5484 4.5484 4.5484
angles (deg): 90.00 90.00 90.00
With the nearest neighbours (Å) after each atom.
Fractional positions:
1 Zr 0.0000 0.0000 0.0000  12 Pd 3.22
2 Co 0.5000 0.5000 0.5000  6 Pd 2.27
3 Pd 0.0000 0.5000 0.5000  2 Co 2.27
4 Pd 0.5000 0.0000 0.5000  2 Co 2.27
5 Pd 0.5000 0.5000 0.0000  2 Co 2.27

Output
The value obtained for the energy of formation from the pure elements is 0.447 eV/atom. The value obtained for the offset from the most stable computed form is 0 meV per atom. For the spin magnetization, the calculation gives 2.0 μB/cell. As for the symmetry: No. 221.

---

Entry 7:
Material: Zr5CoPd
Method: DFT, PBE
State: optimized geometry

a b c (Å): 5.3716 5.3716 10.4838
angles (deg): 102.91 102.91 80.18
With the nearest neighbours (Å) after each atom.
Fractional positions:
1 Zr 0.0210 0.9790 0.7500  2 Co 2.62, 1 Pd 2.67
2 Zr 0.0803 0.4441 0.1318  1 Co 2.53, 1 Pd 2.75
3 Zr 0.2180 0.5281 0.4465  1 Co 2.60, 1 Zr 2.90
4 Zr 0.4441 0.0803 0.6318  1 Co 2.53, 1 Pd 2.75
5 Zr 0.4719 0.7820 0.0535  1 Co 2.60, 1 Zr 2.90
6 Zr 0.5281 0.2180 0.9465  1 Co 2.60, 1 Zr 2.90
7 Zr 0.5559 0.9197 0.3682  1 Co 2.53, 1 Pd 2.75
8 Zr 0.7820 0.4719 0.5535  1 Co 2.60, 1 Zr 2.90
9 Zr 0.9197 0.5559 0.8682  1 Co 2.53, 1 Pd 2.75
10 Zr 0.9790 0.0210 0.2500  2 Co 2.62, 1 Pd 2.67
11 Co 0.0000 0.0000 0.0000  6 Zr 2.53-2.62
12 Co 0.0000 0.0000 0.5000  6 Zr 2.53-2.62
13 Pd 0.4067 0.5933 0.7500  3 Zr 2.67-2.75
14 Pd 0.5933 0.4067 0.2500  3 Zr 2.67-2.75

Output
The value obtained for the energy of formation from the pure elements is -0.113 eV/atom. For the spin magnetization, the calculation gives 0.0 μB/cell. As for the symmetry: No. 15.

---

Entry 8:
Material: Zr6CoPd
Method: DFT, PBE
State: optimized geometry

a b c (Å): 6.5599 8.8521 5.8739
angles (deg): 90.00 107.43 90.00
With the nearest neighbours (Å) after each atom.
Fractional positions:
1 Zr 0.1006 0.2289 0.2703  1 Co 2.63, 1 Zr 2.84, 1 Pd 2.92
2 Zr 0.1006 0.7711 0.2703  1 Co 2.63, 1 Zr 2.84, 1 Pd 2.92
3 Zr 0.2453 0.5000 0.0411  1 Co 2.71
4 Zr 0.2547 0.0000 0.9589  1 Co 2.71
5 Zr 0.3994 0.2711 0.7297  1 Co 2.63, 1 Zr 2.84, 1 Pd 2.92
6 Zr 0.3994 0.7289 0.7297  1 Co 2.63, 1 Zr 2.84, 1 Pd 2.92
7 Zr 0.6006 0.2711 0.2703  1 Co 2.63, 1 Zr 2.84, 1 Pd 2.92
8 Zr 0.6006 0.7289 0.2703  1 Co 2.63, 1 Zr 2.84, 1 Pd 2.92
9 Zr 0.7453 0.0000 0.0411  1 Co 2.71
10 Zr 0.7547 0.5000 0.9589  1 Co 2.71
11 Zr 0.8994 0.2289 0.7297  1 Co 2.63, 1 Zr 2.84, 1 Pd 2.92
12 Zr 0.8994 0.7711 0.7297  1 Co 2.63, 1 Zr 2.84, 1 Pd 2.92
13 Co 0.0000 0.0000 0.5000  6 Zr 2.63-2.71
14 Co 0.5000 0.5000 0.5000  6 Zr 2.63-2.71
15 Pd 0.0000 0.5000 0.5000  10 Zr 2.92-3.27
16 Pd 0.5000 0.0000 0.5000  10 Zr 2.92-3.27

Output
The value obtained for the energy of formation from the pure elements is -0.106 eV/atom. The value obtained for the offset from the most stable computed form is 123 meV per atom. For the spin magnetization, the calculation gives 0.0 μB/cell. As for the symmetry: No. 12.

---

Entry 9:
Material: Zr7Co2Pd2
Method: DFT, PBE
State: optimized geometry

a b c (Å): 8.6242 8.6242 8.6242
angles (deg): 157.68 68.69 116.00
With the nearest neighbours (Å) after each atom.
Fractional positions:
1 Zr 0.0000 0.0000 0.0000  2 Pd 2.91
2 Zr 0.2800 0.4091 0.8709  2 Co 2.61, 3 Pd 2.79-2.83
3 Zr 0.3101 0.6242 0.6859  2 Co 2.53
4 Zr 0.5383 0.4091 0.1291  2 Co 2.61, 3 Pd 2.79-2.83
5 Zr 0.6319 0.2654 0.3664  2 Co 2.63, 2 Pd 2.78
6 Zr 0.8990 0.2654 0.6336  2 Co 2.63, 2 Pd 2.78
7 Zr 0.9382 0.6242 0.3141  2 Co 2.53
8 Co 0.1592 0.9284 0.2309  6 Zr 2.53-2.63
9 Co 0.6975 0.9284 0.7691  6 Zr 2.53-2.63
10 Pd 0.2605 0.7605 0.5000  8 Zr 2.83-2.93
11 Pd 0.6389 0.6389 0.0000  6 Zr 2.78-2.79

Output
The value obtained for the energy of formation from the pure elements is -0.333 eV/atom. The value obtained for the offset from the most stable computed form is 0 meV per atom. For the spin magnetization, the calculation gives 0.0 μB/cell. As for the symmetry: No. 44.

---

Entry 10:
Material: Zr6CoPd3
Method: DFT, PBE
State: optimized geometry

a b c (Å): 5.3593 8.1493 10.5754
angles (deg): 90.00 119.67 90.00
With the nearest neighbours (Å) after each atom.
Fractional positions:
1 Zr 0.0558 0.1686 0.4615  1 Co 2.60, 1 Pd 2.77
2 Zr 0.0558 0.3314 0.9615  1 Co 2.60, 1 Pd 2.77
3 Zr 0.3640 0.6903 0.4445  1 Co 2.61, 2 Pd 2.77-2.92
4 Zr 0.3640 0.8097 0.9445  1 Co 2.61, 2 Pd 2.77-2.92
5 Zr 0.4010 0.0744 0.2616  1 Co 2.38, 1 Pd 2.60
6 Zr 0.4010 0.4256 0.7616  1 Co 2.38, 1 Pd 2.60
7 Zr 0.5990 0.5744 0.2384  1 Co 2.38, 1 Pd 2.60
8 Zr 0.5990 0.9256 0.7384  1 Co 2.38, 1 Pd 2.60
9 Zr 0.6360 0.1903 0.0555  1 Co 2.61, 2 Pd 2.77-2.92
10 Zr 0.6360 0.3097 0.5555  1 Co 2.61, 2 Pd 2.77-2.92
11 Zr 0.9442 0.6686 0.0385  1 Co 2.60, 1 Pd 2.77
12 Zr 0.9442 0.8314 0.5385  1 Co 2.60, 1 Pd 2.77
13 Co 0.5000 0.0000 0.5000  6 Zr 2.38-2.61
14 Co 0.5000 0.5000 0.0000  6 Zr 2.38-2.61
15 Pd 0.0000 0.0000 0.0000  6 Zr 2.60-2.77
16 Pd 0.0000 0.5000 0.5000  6 Zr 2.60-2.77
17 Pd 0.1149 0.0985 0.7607  9 Zr 2.92-3.08, 1 Pd 3.00, 1 Co 3.18
18 Pd 0.1149 0.4015 0.2607  9 Zr 2.92-3.08, 1 Pd 3.00, 1 Co 3.18
19 Pd 0.8851 0.5985 0.7393  9 Zr 2.92-3.08, 1 Pd 3.00, 1 Co 3.18
20 Pd 0.8851 0.9015 0.2393  9 Zr 2.92-3.08, 1 Pd 3.00, 1 Co 3.18

Output
The value obtained for the energy of formation from the pure elements is -0.276 eV/atom. For the spin magnetization, the calculation gives 0.0 μB/cell. As for the symmetry: No. 14.